This record from Alexandria describes a geometry-optimized NaAcTe2O7 structure. The functional is PBE-GGA.

Unit cell a=4.0509 b=4.0509 c=11.1494 alpha=90.00 beta=90.00 gamma=90.00
With the nearest neighbours (Å) after each atom.
Positions (direct):
Na 0.0000 0.0000 0.0000  8 O 3.17
Ac 0.0000 0.0000 0.5000  12 O 2.79-2.86
Te 0.5000 0.5000 0.2876  5 O 1.86-2.08
Te 0.5000 0.5000 0.7124  5 O 1.86-2.08
O 0.0000 0.5000 0.3281  2 Te 2.08
O 0.0000 0.5000 0.6719  2 Te 2.08
O 0.5000 0.0000 0.3281  2 Te 2.08
O 0.5000 0.0000 0.6719  2 Te 2.08
O 0.5000 0.5000 0.1211  1 Te 1.86
O 0.5000 0.5000 0.5000  2 Te 2.37
O 0.5000 0.5000 0.8789  1 Te 1.86

Summary:
The mass density is 5.6 g/cm3. The uncorrected formation energy is -1.56 eV per atom. As for the total energy: -5.78 eV per atom.